[1]
# Y4Bi2SbSe PBE optimized geometry
data_Y4Bi2SbSe
_space_group_name_H-M_alt 'P 1'
_space_group_IT_number 1
_space_group_name_Hall 'P 1'
_cell_length_a 4.365
_cell_length_b 7.571
_cell_length_c 7.549
_cell_angle_alpha 70.61
_cell_angle_beta 90.00
_cell_angle_gamma 90.00
loop_
_atom_site_label
_atom_site_type_symbol
_atom_site_fract_x
_atom_site_fract_y
_atom_site_fract_z
Sb1 Sb 0.000 0.500 0.500
Se1 Se 0.500 0.500 0.000
Y1 Y 0.500 0.740 0.249
Y2 Y 0.500 0.260 0.751
Y3 Y 0.000 0.262 0.243
Y4 Y 0.000 0.738 0.757
Bi1 Bi 0.000 0.000 0.000
Bi2 Bi 0.500 0.000 0.500
# E_form (uncorrected) = -1.178 eV per atom
# energy = -6.331 eV/atom
# space group = P2/m
# V = 235.34 Å³/cell
# theoretical density = 6.87 g cm⁻³
# crystal system = monoclinic


[2]
# Si2BiSb PBE optimized geometry
data_Si2BiSb
_space_group_name_H-M_alt 'P 1'
_space_group_IT_number 1
_space_group_name_Hall 'P 1'
_cell_length_a 5.038
_cell_length_b 5.038
_cell_length_c 5.038
_cell_angle_alpha 60.00
_cell_angle_beta 60.00
_cell_angle_gamma 60.00
loop_
_atom_site_label
_atom_site_type_symbol
_atom_site_fract_x
_atom_site_fract_y
_atom_site_fract_z
Si1 Si 0.750 0.750 0.750
Bi1 Bi 0.500 0.500 0.500
Sb1 Sb 0.000 0.000 0.000
Si2 Si 0.250 0.250 0.250
# E_form (uncorrected) = 0.561 eV per atom
# energy = -4.151 eV/atom
# space group = Fm-3m
# V = 90.44 Å³/cell
# relative energy among the computed polymorphs = 0.056 eV per atom
# theoretical density = 7.10 g cm⁻³
# crystal system = cubic


[3]
# SiBiSb2 PBE optimized geometry
data_SiBiSb2
_space_group_name_H-M_alt 'P 1'
_space_group_IT_number 1
_space_group_name_Hall 'P 1'
_cell_length_a 7.267
_cell_length_b 7.267
_cell_length_c 7.170
_cell_angle_alpha 59.55
_cell_angle_beta 59.55
_cell_angle_gamma 90.00
loop_
_atom_site_label
_atom_site_type_symbol
_atom_site_fract_x
_atom_site_fract_y
_atom_site_fract_z
Sb1 Sb 0.375 0.426 0.750
Sb2 Sb 0.875 0.824 0.750
Si1 Si 0.250 0.750 0.500
Sb3 Sb 0.176 0.625 0.250
Bi1 Bi 0.000 0.000 0.000
Sb4 Sb 0.574 0.125 0.250
Bi2 Bi 0.750 0.250 0.500
Si2 Si 0.500 0.500 0.000
# E_form (uncorrected) = 0.310 eV per atom
# energy = -4.077 eV/atom
# space group = I-42d
# V = 264.07 Å³/cell
# relative energy among the computed polymorphs = 0.000 eV per atom
# theoretical density = 6.04 g cm⁻³
# crystal system = tetragonal


[4]
# SiBiSb2 PBE optimized geometry
data_SiBiSb2
_space_group_name_H-M_alt 'P 1'
_space_group_IT_number 1
_space_group_name_Hall 'P 1'
_cell_length_a 5.288
_cell_length_b 5.288
_cell_length_c 5.288
_cell_angle_alpha 60.00
_cell_angle_beta 60.00
_cell_angle_gamma 60.00
loop_
_atom_site_label
_atom_site_type_symbol
_atom_site_fract_x
_atom_site_fract_y
_atom_site_fract_z
Sb1 Sb 0.250 0.250 0.250
Sb2 Sb 0.750 0.750 0.750
Bi1 Bi 0.500 0.500 0.500
Si1 Si 0.000 0.000 0.000
# E_form (uncorrected) = 0.458 eV per atom
# energy = -3.929 eV/atom
# space group = Fm-3m
# V = 104.55 Å³/cell
# relative energy among the computed polymorphs = 0.148 eV per atom
# theoretical density = 7.63 g cm⁻³
# crystal system = cubic


[5]
# Si2BiSb PBE optimized geometry
data_Si2BiSb
_space_group_name_H-M_alt 'P 1'
_space_group_IT_number 1
_space_group_name_Hall 'P 1'
_cell_length_a 6.858
_cell_length_b 6.858
_cell_length_c 7.000
_cell_angle_alpha 60.67
_cell_angle_beta 60.67
_cell_angle_gamma 90.00
loop_
_atom_site_label
_atom_site_type_symbol
_atom_site_fract_x
_atom_site_fract_y
_atom_site_fract_z
Si1 Si 0.375 0.394 0.750
Si2 Si 0.144 0.625 0.250
Si3 Si 0.875 0.856 0.750
Si4 Si 0.606 0.125 0.250
Sb1 Sb 0.500 0.500 0.000
Bi1 Bi 0.750 0.250 0.500
Sb2 Sb 0.250 0.750 0.500
Bi2 Bi 0.000 0.000 0.000
# E_form (uncorrected) = 0.505 eV per atom
# energy = -4.207 eV/atom
# space group = I-42d
# V = 237.44 Å³/cell
# relative energy among the computed polymorphs = 0.000 eV per atom
# theoretical density = 5.41 g cm⁻³
# crystal system = tetragonal


[6]
# SiBiSb3 PBE optimized geometry
data_SiBiSb3
_space_group_name_H-M_alt 'P 1'
_space_group_IT_number 1
_space_group_name_Hall 'P 1'
_cell_length_a 5.779
_cell_length_b 5.779
_cell_length_c 5.779
_cell_angle_alpha 90.00
_cell_angle_beta 90.00
_cell_angle_gamma 90.00
loop_
_atom_site_label
_atom_site_type_symbol
_atom_site_fract_x
_atom_site_fract_y
_atom_site_fract_z
Bi1 Bi 0.000 0.000 0.000
Sb1 Sb 0.000 0.500 0.000
Sb2 Sb 0.500 0.000 0.000
Sb3 Sb 0.000 0.000 0.500
Si1 Si 0.500 0.500 0.500
# E_form (uncorrected) = 1.331 eV per atom
# energy = -3.003 eV/atom
# space group = Pm-3m
# V = 192.96 Å³/cell
# relative energy among the computed polymorphs = 0.814 eV per atom
# theoretical density = 5.18 g cm⁻³
# crystal system = cubic


[7]
# SiBi3Sb PBE optimized geometry
data_SiBi3Sb
_space_group_name_H-M_alt 'P 1'
_space_group_IT_number 1
_space_group_name_Hall 'P 1'
_cell_length_a 5.424
_cell_length_b 5.424
_cell_length_c 5.424
_cell_angle_alpha 90.00
_cell_angle_beta 90.00
_cell_angle_gamma 90.00
loop_
_atom_site_label
_atom_site_type_symbol
_atom_site_fract_x
_atom_site_fract_y
_atom_site_fract_z
Sb1 Sb 0.500 0.500 0.500
Bi1 Bi 0.000 0.500 0.000
Bi2 Bi 0.500 0.000 0.000
Bi3 Bi 0.000 0.000 0.500
Si1 Si 0.000 0.000 0.000
# E_form (uncorrected) = 0.610 eV per atom
# energy = -3.628 eV/atom
# space group = Pm-3m
# V = 159.61 Å³/cell
# relative energy among the computed polymorphs = 0.000 eV per atom
# theoretical density = 8.08 g cm⁻³
# crystal system = cubic


[8]
# SiBiSb3 PBE optimized geometry
data_SiBiSb3
_space_group_name_H-M_alt 'P 1'
_space_group_IT_number 1
_space_group_name_Hall 'P 1'
_cell_length_a 5.250
_cell_length_b 5.250
_cell_length_c 5.250
_cell_angle_alpha 90.00
_cell_angle_beta 90.00
_cell_angle_gamma 90.00
loop_
_atom_site_label
_atom_site_type_symbol
_atom_site_fract_x
_atom_site_fract_y
_atom_site_fract_z
Si1 Si 0.000 0.000 0.000
Sb1 Sb 0.000 0.000 0.500
Sb2 Sb 0.000 0.500 0.000
Bi1 Bi 0.500 0.500 0.500
Sb3 Sb 0.500 0.000 0.000
# E_form (uncorrected) = 0.517 eV per atom
# energy = -3.817 eV/atom
# space group = Pm-3m
# V = 144.70 Å³/cell
# relative energy among the computed polymorphs = 0.000 eV per atom
# theoretical density = 6.91 g cm⁻³
# crystal system = cubic


[9]
# SiBi2Sb PBE optimized geometry
data_SiBi2Sb
_space_group_name_H-M_alt 'P 1'
_space_group_IT_number 1
_space_group_name_Hall 'P 1'
_cell_length_a 5.366
_cell_length_b 5.366
_cell_length_c 5.366
_cell_angle_alpha 60.00
_cell_angle_beta 60.00
_cell_angle_gamma 60.00
loop_
_atom_site_label
_atom_site_type_symbol
_atom_site_fract_x
_atom_site_fract_y
_atom_site_fract_z
Bi1 Bi 0.250 0.250 0.250
Bi2 Bi 0.750 0.750 0.750
Sb1 Sb 0.500 0.500 0.500
Si1 Si 0.000 0.000 0.000
# E_form (uncorrected) = 0.430 eV per atom
# energy = -3.897 eV/atom
# space group = Fm-3m
# V = 109.23 Å³/cell
# relative energy among the computed polymorphs = 0.009 eV per atom
# theoretical density = 8.63 g cm⁻³
# crystal system = cubic


[10]
# SiBi3Sb PBE optimized geometry
data_SiBi3Sb
_space_group_name_H-M_alt 'P 1'
_space_group_IT_number 1
_space_group_name_Hall 'P 1'
_cell_length_a 5.807
_cell_length_b 5.807
_cell_length_c 5.807
_cell_angle_alpha 90.00
_cell_angle_beta 90.00
_cell_angle_gamma 90.00
loop_
_atom_site_label
_atom_site_type_symbol
_atom_site_fract_x
_atom_site_fract_y
_atom_site_fract_z
Sb1 Sb 0.000 0.000 0.000
Si1 Si 0.500 0.500 0.500
Bi1 Bi 0.000 0.500 0.000
Bi2 Bi 0.000 0.000 0.500
Bi3 Bi 0.500 0.000 0.000
# E_form (uncorrected) = 1.133 eV per atom
# energy = -3.105 eV/atom
# space group = Pm-3m
# V = 195.82 Å³/cell
# relative energy among the computed polymorphs = 0.523 eV per atom
# theoretical density = 6.59 g cm⁻³
# crystal system = cubic


[11]
# SiBi2Sb PBE optimized geometry
data_SiBi2Sb
_space_group_name_H-M_alt 'P 1'
_space_group_IT_number 1
_space_group_name_Hall 'P 1'
_cell_length_a 7.363
_cell_length_b 7.363
_cell_length_c 7.467
_cell_angle_alpha 60.46
_cell_angle_beta 60.46
_cell_angle_gamma 90.00
loop_
_atom_site_label
_atom_site_type_symbol
_atom_site_fract_x
_atom_site_fract_y
_atom_site_fract_z
Si1 Si 0.500 0.500 0.000
Bi1 Bi 0.160 0.625 0.250
Bi2 Bi 0.875 0.840 0.750
Bi3 Bi 0.375 0.410 0.750
Sb1 Sb 0.750 0.250 0.500
Bi4 Bi 0.590 0.125 0.250
Sb2 Sb 0.000 0.000 0.000
Si2 Si 0.250 0.750 0.500
# E_form (uncorrected) = 0.421 eV per atom
# energy = -3.906 eV/atom
# space group = I-42d
# V = 290.22 Å³/cell
# relative energy among the computed polymorphs = 0.000 eV per atom
# theoretical density = 6.50 g cm⁻³
# crystal system = tetragonal


[12]
# SiBiSb2Te PBE optimized geometry
data_SiBiSb2Te
_space_group_name_H-M_alt 'P 1'
_space_group_IT_number 1
_space_group_name_Hall 'P 1'
_cell_length_a 5.281
_cell_length_b 5.281
_cell_length_c 5.223
_cell_angle_alpha 90.00
_cell_angle_beta 90.00
_cell_angle_gamma 90.00
loop_
_atom_site_label
_atom_site_type_symbol
_atom_site_fract_x
_atom_site_fract_y
_atom_site_fract_z
Sb1 Sb 0.000 0.500 0.000
Te1 Te 0.000 0.000 0.500
Sb2 Sb 0.500 0.000 0.000
Bi1 Bi 0.500 0.500 0.500
Si1 Si 0.000 0.000 0.000
# E_form (uncorrected) = 0.472 eV per atom
# energy = -3.666 eV/atom
# space group = P4/mmm
# V = 145.65 Å³/cell
# relative energy among the computed polymorphs = 0.000 eV per atom
# theoretical density = 6.93 g cm⁻³
# crystal system = tetragonal


[13]
# SiBiSbTe2 PBE optimized geometry
data_SiBiSbTe2
_space_group_name_H-M_alt 'P 1'
_space_group_IT_number 1
_space_group_name_Hall 'P 1'
_cell_length_a 5.880
_cell_length_b 5.880
_cell_length_c 5.784
_cell_angle_alpha 90.00
_cell_angle_beta 90.00
_cell_angle_gamma 90.00
loop_
_atom_site_label
_atom_site_type_symbol
_atom_site_fract_x
_atom_site_fract_y
_atom_site_fract_z
Si1 Si 0.500 0.500 0.500
Te1 Te 0.000 0.500 0.000
Bi1 Bi 0.000 0.000 0.000
Te2 Te 0.500 0.000 0.000
Sb1 Sb 0.000 0.000 0.500
# E_form (uncorrected) = 1.108 eV per atom
# energy = -2.834 eV/atom
# space group = P4/mmm
# V = 199.95 Å³/cell
# relative energy among the computed polymorphs = 0.697 eV per atom
# theoretical density = 5.10 g cm⁻³
# crystal system = tetragonal